Entry from Alexandria: a relaxed structure of MgFeIr2 (PBE).

Calculated total energy in eV/atom: -7.03
Formation enthalpy at 0 K in eV/atom: -0.089
Calculated volume in Å³/cell: 57.6
Symmetry: Cm, No. 8

abc: 4.8069 4.8069 4.5844
angles: 79.90 79.90 33.57
Site moments in Bohr magnetons follow the coordinates.
Atoms (fractional coordinates):
Fe: 0.2597 0.2597 0.2395  2.53
Ir: 0.0012 0.0012 0.9989  -0.01
Ir: 0.7410 0.7410 0.7639  0.03
Mg: 0.4980 0.4980 0.4977  -0.01



Entry from Alexandria: a relaxed structure of MgFeIr2 (PBE).

Calculated total energy in eV/atom: -6.75
Formation enthalpy at 0 K in eV/atom: 0.191
Calculated volume in Å³/cell: 59.2
Symmetry: Cmm2, No. 35

abc: 2.7228 2.7228 9.0142
angles: 90.00 90.00 117.71
Site moments in Bohr magnetons follow the coordinates.
Atoms (fractional coordinates):
Fe: 0.5000 0.5000 0.7569  2.66
Ir: 0.0000 0.0000 0.9899  0.30
Ir: 0.5000 0.5000 0.2521  -0.07
Mg: 0.0000 0.0000 0.5011  -0.01



- Look up the formation enthalpy at 0 K of the second one.
  0.191 eV/atom